Entry 1:
MgNb2Pt3: relaxed, GGA-PBE.

The structure in POSCAR format:
```
MgNb2Pt3
1.0
-0.0619 -0.6163 3.4109
2.1662 -2.6701 -0.4431
6.6114 5.1882 1.0574
Mg Nb Pt
1 2 3
Cartesian
4.3578 0.9509 2.0126 Mg
6.6260 2.7309 2.3754 Nb
2.0896 -0.8290 1.6499 Nb
4.4178 3.4668 0.7066 Pt
0.0000 0.0000 0.0000 Pt
2.1936 1.7214 0.3508 Pt
```



Entry 2:
Mg2NbPt: relaxed, GGA-PBE.

The structure in POSCAR format:
```
Mg2NbPt
1.0
-1.3170 -2.1101 3.8812
-4.4338 0.0513 1.2610
-2.5018 -3.8661 -0.2132
Pt Mg Nb
1 2 1
Cartesian
-4.1263 -2.9625 2.4645 Pt
-6.1895 -4.4437 3.6968 Mg
-2.0632 -1.4812 1.2323 Mg
0.0000 0.0000 0.0000 Nb
```

The calculation puts the energy relative to the lowest polymorph listed for this composition at 0.000 eV/atom.



Entry 3:
MgNb3Pt: relaxed, GGA-PBE.

The structure in POSCAR format:
```
MgNb3Pt
1.0
4.6546 0.0000 0.0000
0.0000 4.6546 0.0000
0.0000 0.0000 4.6546
Nb Mg Pt
3 1 1
Cartesian
0.0000 2.3273 0.0000 Nb
2.3273 0.0000 0.0000 Nb
0.0000 0.0000 2.3273 Nb
0.0000 0.0000 0.0000 Mg
2.3273 2.3273 2.3273 Pt
```

The calculation puts the energy relative to the lowest polymorph listed for this composition at 0.672 eV/atom.



Entry 4:
MgNbPt4: relaxed, GGA-PBE.

The structure in POSCAR format:
```
MgNbPt4
1.0
2.7134 0.0000 0.7848
1.4584 4.7424 0.0409
-0.6645 -0.9384 7.3806
Mg Nb Pt
1 1 4
Cartesian
1.7536 1.9020 4.1032 Mg
0.0000 0.0000 0.0000 Nb
2.8228 4.0909 5.4897 Pt
2.4370 1.5916 6.8234 Pt
0.6845 -0.2870 2.7166 Pt
1.0702 2.2124 1.3830 Pt
```



Entry 5:
Mg2NbPt: relaxed, GGA-PBE.

The structure in POSCAR format:
```
Mg2NbPt
1.0
7.5891 0.0000 0.0000
0.0000 7.5891 0.0000
3.7945 3.7945 2.6990
Pt Mg Nb
2 4 2
Cartesian
7.5891 3.7945 1.3495 Pt
0.0000 0.0000 0.0000 Pt
1.6150 5.6918 0.6748 Mg
5.6918 5.4096 2.0243 Mg
9.4864 9.7686 2.0243 Mg
5.9741 1.8973 0.6748 Mg
3.7945 3.7945 0.0000 Nb
3.7945 7.5891 1.3495 Nb
```

The calculation puts the energy relative to the lowest polymorph listed for this composition at 0.197 eV/atom.



Entry 6:
Mg2Nb2Pt: relaxed, GGA-PBE.

The structure in POSCAR format:
```
Mg2Nb2Pt
1.0
6.6091 0.0000 0.0000
0.0000 6.6091 0.0000
0.0000 0.0000 4.7858
Mg Nb Pt
4 4 2
Cartesian
1.0865 4.3911 2.3929 Mg
4.3911 5.5226 2.3929 Mg
5.5226 2.2180 2.3929 Mg
2.2180 1.0865 2.3929 Mg
5.7246 4.1890 0.0000 Nb
2.4201 5.7246 0.0000 Nb
0.8845 2.4201 0.0000 Nb
4.1890 0.8845 0.0000 Nb
3.3046 3.3046 0.0000 Pt
0.0000 0.0000 0.0000 Pt
```

The calculation puts the energy relative to the lowest polymorph listed for this composition at 0.014 eV/atom.



Entry 7:
Mg2NbPt9: relaxed, GGA-PBE.

The structure in POSCAR format:
```
Mg2NbPt9
1.0
-0.7521 2.5377 -2.9664
-0.1409 -3.0366 -2.5620
-11.6764 -1.1360 1.9887
Pt Nb Mg
9 1 2
Cartesian
-4.3386 -0.6281 -2.1013 Pt
-9.8214 -2.4669 0.3797 Pt
-1.9960 -1.7056 -0.9531 Pt
-0.4465 -0.2495 -2.7642 Pt
-5.9087 -2.0863 -0.2867 Pt
-8.2309 -1.0068 -1.4384 Pt
-10.1270 0.3202 0.1776 Pt
-6.2143 0.7009 -0.4888 Pt
-2.3016 1.0815 -1.1552 Pt
0.0000 0.0000 0.0000 Nb
-7.7341 -0.7524 1.3173 Mg
-3.9423 -0.3835 0.6714 Mg
```



Entry 8:
MgNbPt2: relaxed, GGA-PBE.

The structure in POSCAR format:
```
MgNbPt2
1.0
-0.5504 2.7794 -0.3316
-4.4471 -1.0681 -1.5713
-1.6550 0.2138 4.5389
Pt Mg Nb
2 1 1
Cartesian
-2.2235 -0.5341 -0.7856 Pt
-0.8275 0.1069 2.2694 Pt
-3.3263 0.9625 1.3180 Mg
-0.2752 1.3897 -0.1658 Nb
```



Results for formation enthalpy at 0 K: -3.32, -0.19, 8.00, -3.80, 0.60, 1.18, -7.94, -2.70 (in eV/f.u., following the order of the records).